i | A plane-wave DFT calculation with PBE was carried out for an optimized crystal structure of HfMoP2S.

Cell: 4.696 4.696 4.534 Å, 90.00 90.00 90.00°
Element x y z (fractional)
Hf1 0.000 0.000 0.000
Mo1 0.500 0.500 0.500
P1 0.000 0.500 0.500
P2 0.500 0.000 0.500
S1 0.500 0.500 0.000

Calculated values
The magnetization is 0.00 μB per formula unit. For the density of states at the Fermi level, the calculation gives 4.96 states/eV/f.u.

=====

ii | A plane-wave DFT calculation with PBE was carried out for an optimized crystal structure of HfMoP2S.

Cell: 4.971 4.971 4.810 Å, 90.00 90.00 90.00°
Element x y z (fractional)
Hf1 0.000 0.000 0.000
Mo1 0.500 0.500 0.500
P1 0.000 0.500 0.000
P2 0.500 0.000 0.000
S1 0.000 0.000 0.500

Calculated values
The magnetization is 2.93 μB per formula unit. For the density of states at the Fermi level, the calculation gives 2.83 states/eV/f.u.

=====

Most stable of them? i.

=====

i | A plane-wave DFT calculation with PBE was carried out for an optimized crystal structure of HfPa2Mo.

Cell: 9.967 9.967 9.967 Å, 18.83 18.83 18.83°
Element x y z (fractional)
Hf1 0.000 0.000 0.000
Pa1 0.243 0.243 0.243
Pa2 0.757 0.757 0.757
Mo1 0.500 0.500 0.500

Calculated values
The magnetization is 0.00 μB per formula unit. For the density of states at the Fermi level, the calculation gives 8.48 states/eV/f.u.

=====

ii | A plane-wave DFT calculation with PBE was carried out for an optimized crystal structure of HfPa2Mo.

Cell: 3.329 3.329 8.242 Å, 90.00 90.00 90.00°
Element x y z (fractional)
Hf1 0.000 0.000 0.000
Pa1 0.500 0.500 0.281
Pa2 0.500 0.500 0.719
Mo1 0.000 0.000 0.500

Calculated values
The magnetization is 0.00 μB per formula unit. For the density of states at the Fermi level, the calculation gives 8.03 states/eV/f.u.

=====

Most stable of them? ii.

=====

i | A plane-wave DFT calculation with PBE was carried out for an optimized crystal structure of HfMoPb.

Cell: 5.351 5.351 5.351 Å, 140.78 140.78 56.67°
Element x y z (fractional)
Hf1 0.000 0.000 0.000
Mo1 0.354 0.354 0.000
Pb1 0.684 0.684 0.000

Calculated values
The magnetization is 0.00 μB per formula unit. For the density of states at the Fermi level, the calculation gives 0.71 states/eV/f.u.

=====

ii | A plane-wave DFT calculation with PBE was carried out for an optimized crystal structure of HfMoPb.

Cell: 5.677 5.677 6.463 Å, 103.73 103.73 37.61°
Element x y z (fractional)
Hf1 0.150 0.150 0.319
Hf2 0.850 0.850 0.681
Mo1 0.500 0.500 0.000
Mo2 0.500 0.500 0.500
Pb1 0.151 0.151 0.809
Pb2 0.849 0.849 0.191

Calculated values
The magnetization is 0.00 μB per formula unit. For the density of states at the Fermi level, the calculation gives 1.56 states/eV/f.u.

=====

iii | A plane-wave DFT calculation with PBE was carried out for an optimized crystal structure of HfMoPb.

Cell: 5.123 5.279 5.837 Å, 101.87 104.91 118.10°
Element x y z (fractional)
Hf1 0.022 0.429 0.240
Hf2 0.978 0.571 0.760
Mo1 0.323 0.271 0.792
Mo2 0.677 0.729 0.208
Pb1 0.370 0.109 0.270
Pb2 0.630 0.891 0.730

Calculated values
The magnetization is 0.00 μB per formula unit. For the density of states at the Fermi level, the calculation gives 2.14 states/eV/f.u.

=====

Most stable of them? i.

=====

i | A plane-wave DFT calculation with PBE was carried out for an optimized crystal structure of HfMoPb.

Cell: 5.334 3.302 7.725 Å, 90.00 105.05 90.00°
Element x y z (fractional)
Hf1 0.124 0.250 0.174
Hf2 0.876 0.750 0.826
Mo1 0.361 0.250 0.894
Mo2 0.639 0.750 0.106
Pb1 0.271 0.750 0.551
Pb2 0.729 0.250 0.449

Calculated values
The magnetization is 0.00 μB per formula unit. For the density of states at the Fermi level, the calculation gives 1.76 states/eV/f.u.

=====

ii | A plane-wave DFT calculation with PBE was carried out for an optimized crystal structure of HfMoPb.

Cell: 3.386 8.245 8.245 Å, 32.99 90.00 90.00°
Element x y z (fractional)
Hf1 0.000 0.000 0.000
Hf2 0.500 0.189 0.189
Mo1 0.000 0.708 0.708
Mo2 0.500 0.834 0.834
Pb1 0.000 0.362 0.362
Pb2 0.500 0.555 0.555

Calculated values
The magnetization is 0.00 μB per formula unit. For the density of states at the Fermi level, the calculation gives 2.01 states/eV/f.u.

=====

iii | A plane-wave DFT calculation with PBE was carried out for an optimized crystal structure of HfMoPb.

Cell: 8.155 8.155 4.970 Å, 97.51 97.51 23.55°
Element x y z (fractional)
Hf1 0.000 0.000 0.000
Hf2 0.141 0.141 0.613
Mo1 0.498 0.498 0.490
Mo2 0.878 0.878 0.351
Pb1 0.334 0.334 0.821
Pb2 0.677 0.677 0.138

Calculated values
The magnetization is 0.00 μB per formula unit. For the density of states at the Fermi level, the calculation gives 2.36 states/eV/f.u.

=====

iv | A plane-wave DFT calculation with PBE was carried out for an optimized crystal structure of HfMoPb.

Cell: 6.785 5.204 5.762 Å, 76.25 48.17 55.58°
Element x y z (fractional)
Hf1 0.000 0.000 0.000
Hf2 0.250 0.250 0.250
Mo1 0.317 0.317 0.683
Mo2 0.567 0.567 0.933
Pb1 0.655 0.655 0.345
Pb2 0.905 0.905 0.595

Calculated values
The magnetization is 0.00 μB per formula unit. For the density of states at the Fermi level, the calculation gives 1.65 states/eV/f.u.

=====

Most stable of them? iv.